#w
The following is a DFT calculation (PBE) of a relaxed structure of TeP2Se.

The structure in POSCAR format:
```
TeP2Se
1.0
-1.1694 -0.1823 3.4964
-6.6673 -3.6363 -2.4195
1.6374 -3.2537 0.3780
P Se Te
2 1 1
Direct
0.0000 0.0000 0.0000
0.5000 0.5000 0.0000
0.5000 0.0000 0.5000
0.0000 0.5000 0.5000
```

Values from the calculation:
Volume (Å³/atom): 26.94
Space-group type: Pmmm (47)


#x
The following is a DFT calculation (PBE) of a relaxed structure of TeP2Se.

The structure in POSCAR format:
```
TeP2Se
1.0
4.8141 -0.0070 -0.0120
-1.6476 4.5244 0.0196
1.5188 2.2949 3.9486
P Se Te
2 1 1
Direct
0.5000 0.0000 0.5000
0.0000 0.0000 0.0000
0.0000 0.5000 0.5000
0.5000 0.5000 0.0000
```

Values from the calculation:
Volume (Å³/atom): 21.47
Space-group type: I4/mmm (139)


It is #w that is the least stable of them.